A.
A plane-wave DFT calculation with PBE was carried out for an optimized crystal structure of LiAcSnIr.

a = 7.079 Å, b = 7.079 Å, c = 7.079 Å
α = 90.00°, β = 90.00°, γ = 90.00°
Sites, in units of the cell vectors:
Li (0.000, 0.000, 0.000)
Li (0.000, 0.500, 0.500)
Li (0.500, 0.000, 0.500)
Li (0.500, 0.500, 0.000)
Ac (0.250, 0.250, 0.250)
Ac (0.250, 0.750, 0.750)
Ac (0.750, 0.250, 0.750)
Ac (0.750, 0.750, 0.250)
Sn (0.250, 0.250, 0.750)
Sn (0.250, 0.750, 0.250)
Sn (0.750, 0.250, 0.250)
Sn (0.750, 0.750, 0.750)
Ir (0.000, 0.000, 0.500)
Ir (0.000, 0.500, 0.000)
Ir (0.500, 0.000, 0.000)
Ir (0.500, 0.500, 0.500)

space group	F-43m

---

B.
A plane-wave DFT calculation with PBE was carried out for an optimized crystal structure of LiAcSnIr.

a = 8.105 Å, b = 4.677 Å, c = 5.728 Å
α = 90.00°, β = 118.01°, γ = 90.00°
Sites, in units of the cell vectors:
Li (0.000, 0.000, 0.000)
Li (0.500, 0.500, 0.000)
Ac (0.197, 0.000, 0.591)
Ac (0.697, 0.500, 0.591)
Sn (0.212, 0.500, 0.135)
Sn (0.712, 0.000, 0.135)
Ir (0.399, 0.000, 0.195)
Ir (0.899, 0.500, 0.195)

space group	Cm

---

B ends up most stable, edging out the next structure by 12.1 kJ/mol of atoms.

---

A.
A plane-wave DFT calculation with PBE was carried out for an optimized crystal structure of AcLuIr.

a = 4.251 Å, b = 4.251 Å, c = 6.284 Å
α = 90.00°, β = 90.00°, γ = 120.00°
Sites, in units of the cell vectors:
Ac (0.000, 0.000, 0.000)
Lu (0.333, 0.667, 0.540)
Ir (0.667, 0.333, 0.734)

space group	P3m1

---

B.
A plane-wave DFT calculation with PBE was carried out for an optimized crystal structure of AcLuIr.

a = 7.061 Å, b = 7.061 Å, c = 7.061 Å
α = 90.00°, β = 90.00°, γ = 90.00°
Sites, in units of the cell vectors:
Ac (0.000, 0.000, 0.000)
Ac (0.000, 0.500, 0.500)
Ac (0.500, 0.000, 0.500)
Ac (0.500, 0.500, 0.000)
Lu (0.000, 0.000, 0.500)
Lu (0.000, 0.500, 0.000)
Lu (0.500, 0.000, 0.000)
Lu (0.500, 0.500, 0.500)
Ir (0.250, 0.250, 0.250)
Ir (0.250, 0.750, 0.750)
Ir (0.750, 0.250, 0.750)
Ir (0.750, 0.750, 0.250)

space group	F-43m

---

A ends up most stable, edging out the next structure by 2.3 kJ/mol of atoms.

---

A.
A plane-wave DFT calculation with PBE was carried out for an optimized crystal structure of AcMg3Ir2.

a = 8.531 Å, b = 8.531 Å, c = 8.475 Å
α = 118.04°, β = 118.04°, γ = 29.02°
Sites, in units of the cell vectors:
Ac (0.148, 0.148, 0.068)
Ac (0.852, 0.852, 0.932)
Mg (0.044, 0.044, 0.370)
Mg (0.318, 0.318, 0.548)
Mg (0.398, 0.398, 0.305)
Mg (0.602, 0.602, 0.695)
Mg (0.682, 0.682, 0.452)
Mg (0.956, 0.956, 0.630)
Ir (0.200, 0.200, 0.688)
Ir (0.491, 0.491, 0.843)
Ir (0.509, 0.509, 0.157)
Ir (0.800, 0.800, 0.312)

space group	C2/m

---

B.
A plane-wave DFT calculation with PBE was carried out for an optimized crystal structure of AcMg3Ir2.

a = 9.129 Å, b = 9.129 Å, c = 10.671 Å
α = 104.53°, β = 104.53°, γ = 26.64°
Sites, in units of the cell vectors:
Ac (0.000, 0.000, 0.000)
Ac (0.157, 0.157, 0.712)
Ac (0.843, 0.843, 0.288)
Mg (0.049, 0.049, 0.342)
Mg (0.215, 0.215, 0.403)
Mg (0.323, 0.323, 0.022)
Mg (0.371, 0.371, 0.780)
Mg (0.500, 0.500, 0.500)
Mg (0.629, 0.629, 0.220)
Mg (0.677, 0.677, 0.978)
Mg (0.785, 0.785, 0.597)
Mg (0.951, 0.951, 0.658)
Ir (0.201, 0.201, 0.145)
Ir (0.363, 0.363, 0.529)
Ir (0.469, 0.469, 0.211)
Ir (0.531, 0.531, 0.789)
Ir (0.637, 0.637, 0.471)
Ir (0.799, 0.799, 0.855)

space group	C2/m

---

A ends up most stable, edging out the next structure by 1.8 kJ/mol of atoms.

---

A.
A plane-wave DFT calculation with PBE was carried out for an optimized crystal structure of Ac4MgIr.

a = 10.621 Å, b = 10.621 Å, c = 10.621 Å
α = 60.00°, β = 60.00°, γ = 60.00°
Sites, in units of the cell vectors:
Ac (0.061, 0.061, 0.439)
Ac (0.061, 0.439, 0.061)
Ac (0.061, 0.439, 0.439)
Ac (0.189, 0.189, 0.811)
Ac (0.189, 0.811, 0.189)
Ac (0.189, 0.811, 0.811)
Ac (0.214, 0.595, 0.595)
Ac (0.439, 0.061, 0.061)
Ac (0.439, 0.061, 0.439)
Ac (0.439, 0.439, 0.061)
Ac (0.595, 0.214, 0.595)
Ac (0.595, 0.595, 0.214)
Ac (0.595, 0.595, 0.595)
Ac (0.811, 0.189, 0.189)
Ac (0.811, 0.189, 0.811)
Ac (0.811, 0.811, 0.189)
Mg (0.518, 0.827, 0.827)
Mg (0.827, 0.518, 0.827)
Mg (0.827, 0.827, 0.518)
Mg (0.827, 0.827, 0.827)
Ir (0.392, 0.392, 0.392)
Ir (0.392, 0.392, 0.825)
Ir (0.392, 0.825, 0.392)
Ir (0.825, 0.392, 0.392)

space group	F-43m

---

B.
A plane-wave DFT calculation with PBE was carried out for an optimized crystal structure of Ac4MgIr.

a = 5.311 Å, b = 5.311 Å, c = 8.293 Å
α = 90.00°, β = 90.00°, γ = 90.00°
Sites, in units of the cell vectors:
Ac (0.000, 0.500, 0.216)
Ac (0.000, 0.500, 0.784)
Ac (0.500, 0.000, 0.216)
Ac (0.500, 0.000, 0.784)
Mg (0.000, 0.000, 0.500)
Ir (0.500, 0.500, 0.000)

space group	P4/mmm

---

A ends up most stable, edging out the next structure by 26.2 kJ/mol of atoms.